Entry 1:
An optimized crystal structure of ZnOs2PbCl. Source: Alexandria, functional GGA-PBE.

Cell lengths 4.3820, 5.4500, 4.3820 Å; angles 90.00, 90.00, 90.00 degrees
Fractional coordinates of all 5 atoms:
Cl 0.0000 0.0000 0.0000
Pb 0.0000 0.5000 0.0000
Os 0.0000 0.0000 0.5000
Os 0.5000 0.0000 0.0000
Zn 0.5000 0.5000 0.5000

Summary:
raw formation energy: 1702 meV/atom
density of states at the Fermi level: 1.10 states/eV/atom


Entry 2:
An optimized crystal structure of OsPdCl3. Source: Alexandria, functional GGA-PBE.

Cell lengths 4.7888, 4.7888, 4.7888 Å; angles 90.00, 90.00, 90.00 degrees
Fractional coordinates of all 5 atoms:
Cl 0.0000 0.5000 0.0000
Cl 0.5000 0.0000 0.0000
Cl 0.0000 0.0000 0.5000
Os 0.0000 0.0000 0.0000
Pd 0.5000 0.5000 0.5000

Summary:
raw formation energy: 581 meV/atom
E above lowest polymorph: 0.000 eV/atom
density of states at the Fermi level: 1.33 states/eV/atom


Entry 3:
An optimized crystal structure of OsPdCl6. Source: Alexandria, functional GGA-PBE.

Cell lengths 7.7133, 7.7133, 7.0088 Å; angles 90.29, 90.29, 79.95 degrees
Fractional coordinates of all 16 atoms:
Pd 0.9990 0.0010 0.7500
Pd 0.0010 0.9990 0.2500
Cl 0.6902 0.0336 0.7399
Cl 0.5892 0.7034 0.9973
Cl 0.4109 0.2965 0.0027
Cl 0.9687 0.3074 0.2391
Cl 0.6926 0.0313 0.2609
Cl 0.3074 0.9687 0.7391
Cl 0.7035 0.5892 0.4973
Cl 0.0313 0.6926 0.7609
Cl 0.3098 0.9664 0.2601
Cl 0.0336 0.6902 0.2399
Cl 0.9664 0.3098 0.7601
Cl 0.2965 0.4108 0.5027
Os 0.0000 0.5000 0.5000
Os 0.5000 0.0000 0.0000

Summary:
raw formation energy: -375 meV/atom
E above lowest polymorph: 0.000 eV/atom


Entry 4:
An optimized crystal structure of OsPdCl3. Source: Alexandria, functional GGA-PBE.

Cell lengths 4.8943, 4.8943, 4.8943 Å; angles 90.00, 90.00, 90.00 degrees
Fractional coordinates of all 5 atoms:
Cl 0.5000 0.0000 0.0000
Cl 0.0000 0.5000 0.0000
Cl 0.0000 0.0000 0.5000
Pd 0.0000 0.0000 0.0000
Os 0.5000 0.5000 0.5000

Summary:
raw formation energy: 1045 meV/atom
E above lowest polymorph: 0.464 eV/atom
density of states at the Fermi level: 3.06 states/eV/atom


Entry 5:
An optimized crystal structure of Os3PdCl. Source: Alexandria, functional GGA-PBE.

Cell lengths 4.3345, 4.3345, 4.3345 Å; angles 90.00, 90.00, 90.00 degrees
Fractional coordinates of all 5 atoms:
Os 0.5000 0.0000 0.0000
Os 0.0000 0.5000 0.0000
Os 0.0000 0.0000 0.5000
Cl 0.0000 0.0000 0.0000
Pd 0.5000 0.5000 0.5000

Summary:
raw formation energy: 1886 meV/atom
E above lowest polymorph: 0.000 eV/atom
density of states at the Fermi level: 1.38 states/eV/atom


Entry 6:
An optimized crystal structure of OsPd2Cl. Source: Alexandria, functional GGA-PBE.

Cell lengths 4.5144, 4.5144, 4.5144 Å; angles 60.00, 60.00, 60.00 degrees
Fractional coordinates of all 4 atoms:
Pd 0.2500 0.2500 0.2500
Pd 0.7500 0.7500 0.7500
Os 0.5000 0.5000 0.5000
Cl 0.0000 0.0000 0.0000

Summary:
raw formation energy: 991 meV/atom
E above lowest polymorph: 0.086 eV/atom
density of states at the Fermi level: 1.64 states/eV/atom


Entry 7:
An optimized crystal structure of OsPd3Cl. Source: Alexandria, functional GGA-PBE.

Cell lengths 4.8482, 4.8482, 4.8482 Å; angles 90.00, 90.00, 90.00 degrees
Fractional coordinates of all 5 atoms:
Pd 0.0000 0.5000 0.0000
Pd 0.5000 0.0000 0.0000
Pd 0.0000 0.0000 0.5000
Os 0.0000 0.0000 0.0000
Cl 0.5000 0.5000 0.5000

Summary:
raw formation energy: 1176 meV/atom
E above lowest polymorph: 0.000 eV/atom
density of states at the Fermi level: 1.25 states/eV/atom


Entry 8:
An optimized crystal structure of OsPd2Cl. Source: Alexandria, functional GGA-PBE.

Cell lengths 7.1397, 7.1397, 5.7109 Å; angles 51.31, 51.31, 90.00 degrees
Fractional coordinates of all 8 atoms:
Os 0.7500 0.2500 0.5000
Os 0.0000 0.0000 0.0000
Cl 0.2500 0.7500 0.5000
Cl 0.5000 0.5000 0.0000
Pd 0.6233 0.1250 0.2500
Pd 0.1267 0.6250 0.2500
Pd 0.8750 0.8733 0.7500
Pd 0.3750 0.3767 0.7500

Summary:
raw formation energy: 905 meV/atom
E above lowest polymorph: 0.000 eV/atom
density of states at the Fermi level: 0.79 states/eV/atom


Entry 9:
An optimized crystal structure of OsPdCl6. Source: Alexandria, functional GGA-PBE.

Cell lengths 6.0017, 6.0018, 6.5404 Å; angles 62.69, 62.69, 59.99 degrees
Fractional coordinates of all 8 atoms:
Pd 0.5000 0.5000 0.5000
Os 0.0000 0.0000 0.0000
Cl 0.7659 0.0714 0.7586
Cl 0.4041 0.7660 0.7586
Cl 0.0713 0.4041 0.7586
Cl 0.9287 0.5959 0.2414
Cl 0.5959 0.2340 0.2414
Cl 0.2341 0.9286 0.2414

Summary:
raw formation energy: -342 meV/atom
E above lowest polymorph: 0.033 eV/atom
density of states at the Fermi level: 0.64 states/eV/atom


Entry 10:
An optimized crystal structure of OsPd3Cl. Source: Alexandria, functional GGA-PBE.

Cell lengths 4.4720, 4.4720, 4.4720 Å; angles 90.00, 90.00, 90.00 degrees
Fractional coordinates of all 5 atoms:
Pd 0.0000 0.5000 0.0000
Pd 0.0000 0.0000 0.5000
Pd 0.5000 0.0000 0.0000
Os 0.5000 0.5000 0.5000
Cl 0.0000 0.0000 0.0000

Summary:
raw formation energy: 1227 meV/atom
E above lowest polymorph: 0.052 eV/atom
density of states at the Fermi level: 0.80 states/eV/atom


Entry 11:
An optimized crystal structure of Os3PdCl. Source: Alexandria, functional GGA-PBE.

Cell lengths 4.8705, 4.8705, 4.8705 Å; angles 90.00, 90.00, 90.00 degrees
Fractional coordinates of all 5 atoms:
Os 0.0000 0.0000 0.5000
Os 0.5000 0.0000 0.0000
Os 0.0000 0.5000 0.0000
Cl 0.5000 0.5000 0.5000
Pd 0.0000 0.0000 0.0000

Summary:
raw formation energy: 2841 meV/atom
E above lowest polymorph: 0.955 eV/atom
density of states at the Fermi level: 0.67 states/eV/atom


Entry 12:
An optimized crystal structure of Pr8Os3PdCl4. Source: Alexandria, functional GGA-PBE.

Cell lengths 8.2722, 9.0208, 8.2695 Å; angles 117.32, 120.01, 90.00 degrees
Fractional coordinates of all 16 atoms:
Cl 0.0000 0.0000 0.0000
Cl 0.5000 0.0000 0.5000
Cl 0.0000 0.0000 0.5000
Cl 0.5000 0.0000 0.0000
Pr 0.7578 0.2928 0.5156
Pr 0.7578 0.2928 0.0346
Pr 0.2635 0.2908 0.5269
Pr 0.7231 0.7072 0.9654
Pr 0.7365 0.7092 0.4731
Pr 0.2422 0.7072 0.4844
Pr 0.2769 0.2928 0.0346
Pr 0.2422 0.7072 0.9654
Os 0.5000 0.5000 0.5000
Os 0.5000 0.5000 0.0000
Os 0.0000 0.5000 0.5000
Pd 0.0000 0.5000 0.0000

Summary:
raw formation energy: -863 meV/atom
density of states at the Fermi level: 0.38 states/eV/atom